Record 1
Computed, not measured: crystalline YNiPd2N at its relaxed geometry at the PBE-GGA level of DFT.

## Properties
Calculated density in g cm⁻³: 4.9
Crystal system: tetragonal
Uncorrected formation energy in eV/atom: 1.924

Lattice parameters (Å, degrees): 5.121 4.845 5.121 90.00 90.00 90.00
Each line ends with the local moment (μB).
Element x y z (fractional)
Pd  0.500  0.000  0.000  -0.02
Pd  0.000  0.000  0.500  0.03
Ni  0.000  0.500  0.000  0.14
Y  0.000  0.000  0.000  -0.08
N  0.500  0.500  0.500  1.58

=====

Record 2
Computed, not measured: crystalline CeSmSc at its relaxed geometry at the PBE-GGA level of DFT.

## Properties
Calculated density in g cm⁻³: 6.4
ΔH_f (0 K) in eV/atom: 0.1028
Crystal system: monoclinic
Polymorph energy (0 for the lowest one) in eV per atom: 0.015

Lattice parameters (Å, degrees): 5.480 6.181 6.036 58.66 90.00 90.00
Each line ends with the local moment (μB).
Element x y z (fractional)
Sc  0.250  0.988  0.843  0.05
Sc  0.750  0.012  0.157  0.05
Ce  0.250  0.632  0.489  0.59
Ce  0.750  0.368  0.511  0.59
Sm  0.750  0.701  0.817  0.02
Sm  0.250  0.299  0.183  0.02

=====

Record 3
Computed, not measured: crystalline Ac7Nd2Tm2 at its relaxed geometry at the PBE-GGA level of DFT.

## Properties
Calculated density in g cm⁻³: 7.8
ΔH_f (0 K) in eV/atom: 0.3318
Crystal system: monoclinic

Lattice parameters (Å, degrees): 7.376 10.109 7.376 89.96 121.08 90.04
Element x y z (fractional)
Nd  0.753  0.500  0.753
Nd  0.247  0.500  0.247
Ac  0.500  0.814  0.500
Ac  0.499  0.309  0.000
Ac  0.000  0.309  0.501
Ac  0.000  0.000  0.000
Ac  0.501  0.691  0.000
Ac  0.000  0.691  0.499
Ac  0.500  0.186  0.500
Tm  0.270  0.000  0.730
Tm  0.730  0.000  0.270